# 1
# TcHSe2

Crystalline TcHSe2 at its relaxed geometry (PBE, Alexandria via LeMat-Bulk).

abc: 3.2915 6.5850 7.3969
angles: 64.39 77.24 90.00
Sites, in units of the cell vectors:
Tc 0.0000 0.0000 0.0000
Tc 0.4910 0.3488 0.0182
H 0.5693 0.6227 0.8602
H 0.7199 0.2132 0.5577
Se 0.1244 0.3981 0.7496
Se 0.3575 0.9439 0.2871
Se 0.6311 0.9740 0.7359
Se 0.9123 0.5305 0.1767

- Theoretical density: 6.09 g/cm³
- Excess energy over the best structure of this formula in the dataset: 0.00 eV per formula unit
- Magnetic moment: 0.0 μB/cell

=====

# 2
# Pr2Dy6Ho3Tl

Crystalline Pr2Dy6Ho3Tl at its relaxed geometry (PBE, Alexandria via LeMat-Bulk).

abc: 6.1062 6.1062 11.7580
angles: 94.99 94.99 120.03
Sites, in units of the cell vectors:
Pr 0.1662 0.8338 0.0000
Pr 0.8338 0.1662 0.0000
Dy 0.0890 0.4167 0.7482
Dy 0.2559 0.2559 0.2529
Dy 0.4167 0.0890 0.7482
Dy 0.5833 0.9110 0.2518
Dy 0.7441 0.7441 0.7471
Dy 0.9110 0.5833 0.2518
Ho 0.0000 0.0000 0.5000
Ho 0.3333 0.6667 0.5000
Ho 0.6667 0.3333 0.5000
Tl 0.5000 0.5000 0.0000

- Theoretical density: 8.69 g/cm³
- Energy of formation from the pure elements: -31 meV per atom
- Magnetic moment: 0.0 μB/cell

=====

# 3
# TaTl2Zn

Crystalline TaTl2Zn at its relaxed geometry (PBE, Alexandria via LeMat-Bulk).

abc: 5.6922 5.6922 5.6922
angles: 137.72 137.72 61.33
Sites, in units of the cell vectors:
Ta 0.0000 0.0000 0.0000
Tl 0.2500 0.7500 0.5000
Tl 0.5000 0.5000 0.0000
Zn 0.7500 0.2500 0.5000

- Theoretical density: 13.18 g/cm³
- Energy of formation from the pure elements: 546 meV per atom
- Excess energy over the best structure of this formula in the dataset: 0.78 eV per formula unit
- Magnetic moment: 0.0 μB/cell

=====

# 4
# SrZn2Ag

Crystalline SrZn2Ag at its relaxed geometry (PBE, Alexandria via LeMat-Bulk).

abc: 10.0077 10.0077 10.0077
angles: 152.21 152.21 39.71
Sites, in units of the cell vectors:
Sr 0.0000 0.0000 0.0000
Sr 0.7500 0.2500 0.5000
Zn 0.3738 0.6250 0.2488
Zn 0.3750 0.6238 0.7488
Zn 0.3762 0.1250 0.7512
Zn 0.8750 0.6262 0.2512
Ag 0.2500 0.7500 0.5000
Ag 0.5000 0.5000 0.0000

- Theoretical density: 4.98 g/cm³
- Energy of formation from the pure elements: -91 meV per atom
- Magnetic moment: 0.0 μB/cell